Crystalline PmDy2Zr at its relaxed geometry, computed with PBE.

a b c (Å): 7.809 7.809 7.809
angles (deg): 90.00 90.00 90.00
Space group Fm-3m (No. 225)
Unique sites:
Pm (0.000, 0.000, 0.000) x4
Dy (0.250, 0.250, 0.250) x8
Zr (0.000, 0.000, 0.500) x4

Values from the calculation:
For the final energy, the calculation gives -5.40 eV per atom. The total magnetization is 1.78 μB/f.u. As for the energy above the most stable polymorph in this dataset: 146 meV per atom.